# 1
Computed, not measured: a PBEsol-optimized structure of CdMo2P at the SCAN level of DFT.

Lattice parameters (Å, degrees): 2.9742 2.9742 6.9765 90.00 90.00 90.00
Positions (direct):
Cd 0.0000 0.0000 0.0000
Mo 0.5000 0.5000 0.3090
Mo 0.5000 0.5000 0.6910
P 0.0000 0.0000 0.5000

For the formation energy, the calculation gives 0.03 eV per atom. The magnetization is 0.0 μB per formula unit. The calculation puts the volume at 15.43 Å³ per atom. For the total energy, the calculation gives -27.611 eV per atom.

# 2
Computed, not measured: a PBEsol-optimized structure of K2TeMo at the SCAN level of DFT.

Lattice parameters (Å, degrees): 3.5507 3.5507 10.3731 90.00 90.00 90.00
Positions (direct):
K 0.0000 0.0000 0.0000
K 0.5000 0.5000 0.4087
Te 0.5000 0.5000 0.7559
Mo 0.0000 0.0000 0.6538

For the uncorrected formation energy, the calculation gives 0.334 eV per atom. The magnetization is 0.9 μB per formula unit. The calculation puts the volume at 32.70 Å³ per atom. For the total energy, the calculation gives -21.865 eV per atom.

# 3
Computed, not measured: a PBEsol-optimized structure of ZrIn3 at the SCAN level of DFT.

Lattice parameters (Å, degrees): 5.7159 5.7159 5.7159 136.74 136.74 62.84
Positions (direct):
Zr 0.0000 0.0000 0.0000
In 0.2500 0.7500 0.5000
In 0.5000 0.5000 0.0000
In 0.7500 0.2500 0.5000

For the formation energy, the calculation gives -0.35 eV per atom. The magnetization is 0.0 μB per formula unit. The calculation puts the volume at 21.65 Å³ per atom. For the total energy, the calculation gives -33.062 eV per atom.

# 4
Computed, not measured: a PBEsol-optimized structure of Li2YCu at the SCAN level of DFT.

Lattice parameters (Å, degrees): 4.6168 4.6168 4.6168 60.00 60.00 60.00
Positions (direct):
Li 0.2500 0.2500 0.2500
Li 0.7500 0.7500 0.7500
Y 0.0000 0.0000 0.0000
Cu 0.5000 0.5000 0.5000

For the formation energy, the calculation gives 0.16 eV per atom. The value obtained for the energy above the most stable polymorph in this dataset is 128 meV per atom. The magnetization is 0.0 μB per formula unit. The calculation puts the volume at 17.40 Å³ per atom. For the total energy, the calculation gives -11.799 eV per atom.